1.
Computed, not measured: a geometry-optimized Cs8Au2S3 structure at the PBE level of DFT.

raw formation energy	-0.759	eV/atom
spin magnetization	0.003	μB per formula unit
total DFT energy (no corrections)	-2.741	eV/atom

Unit cell a=10.763 b=10.763 c=5.850 alpha=90.00 beta=90.00 gamma=110.30
Element x y z (fractional)
Cs  0.104  0.896  0.000
Cs  0.123  0.338  0.500
Cs  0.338  0.123  0.500
Cs  0.384  0.616  0.000
Cs  0.616  0.384  0.000
Cs  0.662  0.877  0.500
Cs  0.877  0.662  0.500
Cs  0.896  0.104  0.000
Au  0.259  0.741  0.500
Au  0.741  0.259  0.500
S  0.000  0.000  0.500
S  0.280  0.280  0.000
S  0.720  0.720  0.000

2.
Computed, not measured: a geometry-optimized YCd20Ni2 structure at the PBE level of DFT.

spin magnetization	0.000	μB per formula unit
formation enthalpy at 0 K	-79	meV per atom
total DFT energy (no corrections)	-1.659	eV/atom

Unit cell a=11.128 b=11.128 c=11.128 alpha=60.00 beta=60.00 gamma=60.00
Element x y z (fractional)
Y  0.125  0.125  0.125
Y  0.875  0.875  0.875
Cd  0.000  0.000  0.000
Cd  0.000  0.000  0.500
Cd  0.000  0.500  0.000
Cd  0.056  0.324  0.324
Cd  0.056  0.324  0.796
Cd  0.056  0.796  0.324
Cd  0.204  0.676  0.676
Cd  0.204  0.676  0.944
Cd  0.204  0.944  0.676
Cd  0.238  0.238  0.512
Cd  0.238  0.512  0.238
Cd  0.238  0.512  0.512
Cd  0.324  0.056  0.324
Cd  0.324  0.056  0.796
Cd  0.324  0.324  0.056
Cd  0.324  0.324  0.796
Cd  0.324  0.796  0.056
Cd  0.324  0.796  0.324
Cd  0.488  0.488  0.762
Cd  0.488  0.762  0.488
Cd  0.488  0.762  0.762
Cd  0.500  0.000  0.000
Cd  0.512  0.238  0.238
Cd  0.512  0.238  0.512
Cd  0.512  0.512  0.238
Cd  0.676  0.204  0.676
Cd  0.676  0.204  0.944
Cd  0.676  0.676  0.204
Cd  0.676  0.676  0.944
Cd  0.676  0.944  0.204
Cd  0.676  0.944  0.676
Cd  0.762  0.488  0.488
Cd  0.762  0.488  0.762
Cd  0.762  0.762  0.488
Cd  0.796  0.056  0.324
Cd  0.796  0.324  0.056
Cd  0.796  0.324  0.324
Cd  0.944  0.204  0.676
Cd  0.944  0.676  0.204
Cd  0.944  0.676  0.676
Ni  0.000  0.500  0.500
Ni  0.500  0.000  0.500
Ni  0.500  0.500  0.000
Ni  0.500  0.500  0.500